# PuZnNiGe2, relaxed, DFT PBE-GGA
# Size of the total moment ... 5.71 μB/f.u.
# Theoretical density ... 9.7 g/cm³
# Electronic total energy ... -6.427 eV per atom
# Volume ... 88.1 Å³/f.u.
data_PuZnNiGe2
_space_group_name_H-M_alt 'P m m a'
_space_group_IT_number 51
_cell_length_a 5.494
_cell_length_b 5.681
_cell_length_c 5.647
_cell_angle_alpha 90.00
_cell_angle_beta 90.00
_cell_angle_gamma 90.00
loop_
_space_group_symop_operation_xyz
'x,y,z'
'-x,-y,-z'
'-x+1/2,-y,z'
'x+1/2,y,-z'
'x+1/2,-y,-z'
'-x+1/2,y,z'
'-x,y,-z'
'x,-y,z'
loop_
_atom_site_label
_atom_site_type_symbol
_atom_site_fract_x
_atom_site_fract_y
_atom_site_fract_z
Pu1 Pu 0.250 0.000 0.236
Zn1 Zn 0.250 0.500 0.373
Ni1 Ni 0.000 0.500 0.000
Ge1 Ge 0.250 0.240 0.750

# CsRbTlAs, relaxed, DFT PBE-GGA
# Size of the total moment ... 0.00 μB/f.u.
# Theoretical density ... 4.4 g/cm³
# Volume ... 189.0 Å³/f.u.
# Energy relative to the lowest polymorph listed for this composition ... 0.00 eV per formula unit
data_CsRbTlAs
_space_group_name_H-M_alt 'C 1 m 1'
_space_group_IT_number 8
_cell_length_a 15.216
_cell_length_b 4.388
_cell_length_c 6.193
_cell_angle_alpha 90.00
_cell_angle_beta 113.95
_cell_angle_gamma 90.00
loop_
_space_group_symop_operation_xyz
'x,y,z'
'x,-y,z'
'x+1/2,y+1/2,z'
'x+1/2,-y+1/2,z'
loop_
_atom_site_label
_atom_site_type_symbol
_atom_site_fract_x
_atom_site_fract_y
_atom_site_fract_z
Cs1 Cs 0.000 0.000 0.000
Rb1 Rb 0.174 0.500 0.674
Tl1 Tl 0.306 0.500 0.305
As1 As 0.431 0.000 0.432

# Pm3CuTe2, relaxed, DFT PBE-GGA
# Size of the total moment ... 0.00 μB/f.u.
# Theoretical density ... 7.0 g/cm³
# Electronic total energy ... -5.074 eV per atom
# Volume ... 177.6 Å³/f.u.
data_Pm3CuTe2
_space_group_name_H-M_alt 'C 1 2/m 1'
_space_group_IT_number 12
_cell_length_a 7.494
_cell_length_b 12.982
_cell_length_c 7.726
_cell_angle_alpha 90.00
_cell_angle_beta 109.10
_cell_angle_gamma 90.00
loop_
_space_group_symop_operation_xyz
'x,y,z'
'-x,-y,-z'
'-x,y,-z'
'x,-y,z'
'x+1/2,y+1/2,z'
'-x+1/2,-y+1/2,-z'
'-x+1/2,y+1/2,-z'
'x+1/2,-y+1/2,z'
loop_
_atom_site_label
_atom_site_type_symbol
_atom_site_fract_x
_atom_site_fract_y
_atom_site_fract_z
Pm1 Pm 0.226 0.000 0.227
Pm2 Pm 0.247 0.174 0.766
Cu1 Cu 0.000 0.169 0.000
Te1 Te 0.000 0.000 0.500
Te2 Te 0.000 0.342 0.500
Te3 Te 0.000 0.500 0.000

# RbMgGaI4, relaxed, DFT PBE-GGA
# Size of the total moment ... 0.00 μB/f.u.
# Theoretical density ... 3.6 g/cm³
# Electronic total energy ... -2.637 eV per atom
# Volume ... 320.5 Å³/f.u.
data_RbMgGaI4
_space_group_name_H-M_alt 'P 1 21/m 1'
_space_group_IT_number 11
_cell_length_a 8.095
_cell_length_b 8.364
_cell_length_c 9.926
_cell_angle_alpha 90.00
_cell_angle_beta 107.50
_cell_angle_gamma 90.00
loop_
_space_group_symop_operation_xyz
'x,y,z'
'-x,-y,-z'
'-x,y+1/2,-z'
'x,-y+1/2,z'
loop_
_atom_site_label
_atom_site_type_symbol
_atom_site_fract_x
_atom_site_fract_y
_atom_site_fract_z
Rb1 Rb 0.236 0.250 0.046
Mg1 Mg 0.243 0.750 0.324
Ga1 Ga 0.224 0.250 0.529
I1 I 0.017 0.005 0.273
I2 I 0.430 0.750 0.138
I3 I 0.460 0.750 0.595

Copy entry 2 word for word.
# CsRbTlAs, relaxed, DFT PBE-GGA
# Size of the total moment ... 0.00 μB/f.u.
# Theoretical density ... 4.4 g/cm³
# Volume ... 189.0 Å³/f.u.
# Energy relative to the lowest polymorph listed for this composition ... 0.00 eV per formula unit
data_CsRbTlAs
_space_group_name_H-M_alt 'C 1 m 1'
_space_group_IT_number 8
_cell_length_a 15.216
_cell_length_b 4.388
_cell_length_c 6.193
_cell_angle_alpha 90.00
_cell_angle_beta 113.95
_cell_angle_gamma 90.00
loop_
_space_group_symop_operation_xyz
'x,y,z'
'x,-y,z'
'x+1/2,y+1/2,z'
'x+1/2,-y+1/2,z'
loop_
_atom_site_label
_atom_site_type_symbol
_atom_site_fract_x
_atom_site_fract_y
_atom_site_fract_z
Cs1 Cs 0.000 0.000 0.000
Rb1 Rb 0.174 0.500 0.674
Tl1 Tl 0.306 0.500 0.305
As1 As 0.431 0.000 0.432